# 1
Y2SbRu2: relaxed, PBE.

Geometry as CIF:
```
data_Y2SbRu2
_chemical_formula_sum 'Y4 Sb2 Ru4'
_cell_length_a 8.0780
_cell_length_b 8.0780
_cell_length_c 3.3479
_cell_angle_alpha 90.00
_cell_angle_beta 90.00
_cell_angle_gamma 90.00
_symmetry_space_group_name_H-M 'P 4/m b m'
_symmetry_Int_Tables_number 127
_symmetry_space_group_name_Hall '-P 4 2ab'
loop_
_atom_site_label
_atom_site_fract_x
_atom_site_fract_y
_atom_site_fract_z
_atom_site_occupancy
Y1 0.1425 0.3575 0.0000 1
Sb1 0.0000 0.0000 0.0000 1
Ru1 0.1598 0.6598 0.5000 1
```

Excess energy over the best structure of this formula in the dataset ... 12.72 kcal/mol of atoms
Formation energy (no corrections) ... 0.54 eV/f.u.
Uncorrected energy ... -35.1 eV per formula unit

***

# 2
Y3SbRu: relaxed, PBE.

Geometry as CIF:
```
data_Y3SbRu
_chemical_formula_sum 'Y3 Sb1 Ru1'
_cell_length_a 5.2898
_cell_length_b 5.2898
_cell_length_c 5.2898
_cell_angle_alpha 90.00
_cell_angle_beta 90.00
_cell_angle_gamma 90.00
_symmetry_space_group_name_H-M 'P m -3 m'
_symmetry_Int_Tables_number 221
_symmetry_space_group_name_Hall '-P 4 2 3'
loop_
_atom_site_label
_atom_site_fract_x
_atom_site_fract_y
_atom_site_fract_z
_atom_site_occupancy
Y1 0.0000 0.0000 0.5000 1
Sb1 0.5000 0.5000 0.5000 1
Ru1 0.0000 0.0000 0.0000 1
```

Excess energy over the best structure of this formula in the dataset ... 0.00 kcal/mol of atoms
Formation energy (no corrections) ... -1.67 eV/f.u.
Uncorrected energy ... -34.5 eV per formula unit

***

# 3
Y2SbRu2: relaxed, PBE.

Geometry as CIF:
```
data_Y2SbRu2
_chemical_formula_sum 'Y4 Sb2 Ru4'
_cell_length_a 5.5241
_cell_length_b 5.5241
_cell_length_c 7.7370
_cell_angle_alpha 90.00
_cell_angle_beta 90.00
_cell_angle_gamma 90.00
_symmetry_space_group_name_H-M 'I 4/m m m'
_symmetry_Int_Tables_number 139
_symmetry_space_group_name_Hall '-I 4 2'
loop_
_atom_site_label
_atom_site_fract_x
_atom_site_fract_y
_atom_site_fract_z
_atom_site_occupancy
Y1 0.0000 0.5000 0.2500 1
Sb1 0.0000 0.0000 0.0000 1
Ru1 0.0000 0.0000 0.3314 1
```

Excess energy over the best structure of this formula in the dataset ... 8.34 kcal/mol of atoms
Formation energy (no corrections) ... -0.41 eV/f.u.
Uncorrected energy ... -36.0 eV per formula unit

***

# 4
ZnSbRu2: relaxed, PBE.

Geometry as CIF:
```
data_ZnSbRu2
_chemical_formula_sum 'Zn1 Sb1 Ru2'
_cell_length_a 3.2070
_cell_length_b 4.1574
_cell_length_c 4.8405
_cell_angle_alpha 90.00
_cell_angle_beta 90.00
_cell_angle_gamma 90.00
_symmetry_space_group_name_H-M 'P m m m'
_symmetry_Int_Tables_number 47
_symmetry_space_group_name_Hall '-P 2 2'
loop_
_atom_site_label
_atom_site_fract_x
_atom_site_fract_y
_atom_site_fract_z
_atom_site_occupancy
Zn1 0.0000 0.0000 0.0000 1
Sb1 0.5000 0.0000 0.5000 1
Ru1 0.0000 0.5000 0.5000 1
Ru2 0.5000 0.5000 0.0000 1
```

Formation energy (no corrections) ... 1.15 eV/f.u.
Uncorrected energy ... -22.8 eV per formula unit

***

# 5
Zn2SbRu: relaxed, PBE.

Geometry as CIF:
```
data_Zn2SbRu
_chemical_formula_sum 'Zn6 Sb3 Ru3'
_cell_length_a 3.1458
_cell_length_b 3.1458
_cell_length_c 25.4595
_cell_angle_alpha 90.00
_cell_angle_beta 90.00
_cell_angle_gamma 120.00
_symmetry_space_group_name_H-M 'R -3 m'
_symmetry_Int_Tables_number 166
_symmetry_space_group_name_Hall '-R 3 2"'
loop_
_atom_site_label
_atom_site_fract_x
_atom_site_fract_y
_atom_site_fract_z
_atom_site_occupancy
Zn1 0.0000 0.0000 0.2402 1
Sb1 0.0000 0.0000 0.0000 1
Ru1 0.0000 0.0000 0.5000 1
```

Formation energy (no corrections) ... 1.27 eV/f.u.
Uncorrected energy ... -14.7 eV per formula unit

***

# 6
ZnSbRu2: relaxed, PBE.

Geometry as CIF:
```
data_ZnSbRu2
_chemical_formula_sum 'Zn1 Sb1 Ru2'
_cell_length_a 4.4917
_cell_length_b 3.0285
_cell_length_c 5.1483
_cell_angle_alpha 90.00
_cell_angle_beta 113.73
_cell_angle_gamma 90.00
_symmetry_space_group_name_H-M 'P 1 2/m 1'
_symmetry_Int_Tables_number 10
_symmetry_space_group_name_Hall '-P 2y'
loop_
_atom_site_label
_atom_site_fract_x
_atom_site_fract_y
_atom_site_fract_z
_atom_site_occupancy
Zn1 0.0000 0.0000 0.0000 1
Sb1 0.0000 0.5000 0.5000 1
Ru1 0.5000 0.0000 0.5000 1
Ru2 0.5000 0.5000 0.0000 1
```

Formation energy (no corrections) ... 0.57 eV/f.u.
Uncorrected energy ... -23.4 eV per formula unit

***

# 7
Zn11SbRu3: relaxed, PBE.

Geometry as CIF:
```
data_Zn11SbRu3
_chemical_formula_sum 'Zn44 Sb4 Ru12'
_cell_length_a 16.9441
_cell_length_b 6.8652
_cell_length_c 7.9535
_cell_angle_alpha 90.00
_cell_angle_beta 90.00
_cell_angle_gamma 90.00
_symmetry_space_group_name_H-M 'A m a 2'
_symmetry_Int_Tables_number 40
_symmetry_space_group_name_Hall 'A 2 -2a'
loop_
_atom_site_label
_atom_site_fract_x
_atom_site_fract_y
_atom_site_fract_z
_atom_site_occupancy
Zn1 0.0000 0.0000 0.0000 1
Zn2 0.0000 0.0000 0.5422 1
Zn3 0.0095 0.2170 0.2700 1
Zn4 0.1216 0.4827 0.2919 1
Zn5 0.1284 0.4412 0.6983 1
Zn6 0.1640 0.1232 0.4903 1
Zn7 0.2500 0.2496 0.7969 1
Sb1 0.2500 0.2632 0.1661 1
Ru1 0.1109 0.2662 0.0037 1
Ru2 0.2500 0.4295 0.4852 1
```

Formation energy (no corrections) ... -2.10 eV/f.u.
Uncorrected energy ... -48.1 eV per formula unit

***

# 8
ZnSbRu2: relaxed, PBE.

Geometry as CIF:
```
data_ZnSbRu2
_chemical_formula_sum 'Zn4 Sb4 Ru8'
_cell_length_a 4.0426
_cell_length_b 4.0426
_cell_length_c 17.5856
_cell_angle_alpha 90.00
_cell_angle_beta 90.00
_cell_angle_gamma 90.00
_symmetry_space_group_name_H-M 'I -4 2 d'
_symmetry_Int_Tables_number 122
_symmetry_space_group_name_Hall 'I -4 2bw'
loop_
_atom_site_label
_atom_site_fract_x
_atom_site_fract_y
_atom_site_fract_z
_atom_site_occupancy
Zn1 0.0000 0.0000 0.0000 1
Sb1 0.0000 0.0000 0.5000 1
Ru1 0.1874 0.2500 0.1250 1
```

Formation energy (no corrections) ... 1.69 eV/f.u.
Uncorrected energy ... -22.3 eV per formula unit